# 1
Zr2BeMo after structural relaxation, computed with PBE.

E_form = -0.035 eV per atom
Magnetic moment = 0.000 μB/atom
Total energy = -7.948 eV per atom

Cell: 3.3635 3.3635 6.1822 Å, 90.00 90.00 90.00°
Closest atoms and distances in Å follow each position.
Atoms (fractional coordinates):
Zr 0.0000 0.0000 0.2417  4 Be 2.81, 4 Mo 2.86, 1 Zr 2.99
Zr 0.0000 0.0000 0.7583  4 Be 2.81, 4 Mo 2.86, 1 Zr 2.99
Be 0.5000 0.5000 0.0000  8 Zr 2.81, 2 Mo 3.09
Mo 0.5000 0.5000 0.5000  8 Zr 2.86, 2 Be 3.09

***

# 2
ZrBeMo2 after structural relaxation, computed with PBE.

E_form = 0.159 eV per atom
Magnetic moment = 0.000 μB/atom
Total energy = -8.325 eV per atom

Cell: 4.7204 4.7204 4.6186 Å, 103.35 103.35 39.78°
Closest atoms and distances in Å follow each position.
Atoms (fractional coordinates):
Zr 0.0000 0.0000 0.0000  6 Mo 2.70-2.95, 4 Be 2.81
Be 0.5000 0.5000 0.5000  6 Mo 2.57-2.81, 4 Zr 2.81
Mo 0.2269 0.2269 0.7034  3 Be 2.57-2.81, 2 Mo 2.58, 1 Zr 2.70
Mo 0.7731 0.7731 0.2966  3 Be 2.57-2.81, 2 Mo 2.58, 1 Zr 2.70

***

# 3
ZrBe2Mo after structural relaxation, computed with PBE.

E_form = 0.116 eV per atom
Magnetic moment = 0.000 μB/atom
Total energy = -6.592 eV per atom

Cell: 5.0943 5.0943 5.0943 Å, 146.69 128.94 62.34°
Closest atoms and distances in Å follow each position.
Atoms (fractional coordinates):
Zr 0.0000 0.0000 0.0000  8 Be 2.66-2.96, 4 Mo 2.86-2.91, 2 Zr 2.92
Be 0.2728 0.7728 0.5000  2 Be 2.19
Be 0.4595 0.4595 0.0000  2 Be 2.19
Mo 0.7185 0.2185 0.5000  6 Be 2.68-2.69, 4 Zr 2.86-2.91, 2 Mo 2.92